[1]
{
  "formula": "NaSn2BiH",
  "functional": "GGA-PBE",
  "state": "relaxed",
  "dos_at_fermi_per_ev_cell": 2.1,
  "final_energy_ev_per_atom": -3.25,
  "lattice_angstrom": [[4.993, 0.000, 0.000], [0.000, 4.993, 0.000], [0.000, 0.000, 4.645]],
  "species": ["Na", "Sn", "Sn", "Bi", "H"],
  "fractional_positions": [[0.000, 0.000, 0.000], [0.000, 0.500, 0.500], [0.500, 0.000, 0.500], [0.500, 0.500, 0.000], [0.000, 0.000, 0.500]]
}

---

[2]
{
  "formula": "Na2SrBiH",
  "functional": "GGA-PBE",
  "state": "relaxed",
  "dos_at_fermi_per_ev_cell": 0.2,
  "final_energy_ev_per_atom": -2.82,
  "lattice_angstrom": [[4.899, 0.000, 0.000], [0.000, 4.899, 0.000], [0.000, 0.000, 5.262]],
  "species": ["Na", "Na", "Sr", "Bi", "H"],
  "fractional_positions": [[0.000, 0.500, 0.000], [0.500, 0.000, 0.000], [0.000, 0.000, 0.500], [0.500, 0.500, 0.500], [0.000, 0.000, 0.000]]
}